[1]
# Ba2YAl, optimized geometry, DFT PBE-GGA
data_Ba2YAl
_chemical_formula_sum 'Ba2 Y1 Al1'
_symmetry_space_group_name_H-M 'P 1'
_symmetry_Int_Tables_number 1
_cell_length_a 7.469
_cell_length_b 7.469
_cell_length_c 7.469
_cell_angle_alpha 149.02
_cell_angle_beta 131.14
_cell_angle_gamma 58.99
loop_
_symmetry_equiv_pos_as_xyz
'x,y,z'
loop_
_atom_site_label
_atom_site_type_symbol
_atom_site_fract_x
_atom_site_fract_y
_atom_site_fract_z
_atom_site_occupancy
Ba1 Ba 0.000 0.000 0.000 1
Ba2 Ba 0.699 0.199 0.500 1
Y1 Y 0.297 0.797 0.500 1
Al1 Al 0.471 0.471 0.000 1
# E, eV/atom: -3.479
# Energy relative to the elements, eV/atom: 0.034

[2]
# BaY2Al3Zn6, optimized geometry, DFT PBE-GGA
data_BaY2Al3Zn6
_chemical_formula_sum 'Ba1 Y2 Al3 Zn6'
_symmetry_space_group_name_H-M 'P 1'
_symmetry_Int_Tables_number 1
_cell_length_a 4.234
_cell_length_b 4.234
_cell_length_c 14.220
_cell_angle_alpha 90.00
_cell_angle_beta 90.00
_cell_angle_gamma 90.00
loop_
_symmetry_equiv_pos_as_xyz
'x,y,z'
loop_
_atom_site_label
_atom_site_type_symbol
_atom_site_fract_x
_atom_site_fract_y
_atom_site_fract_z
_atom_site_occupancy
Ba1 Ba 0.000 0.000 0.000 1
Y1 Y 0.000 0.000 0.378 1
Y2 Y 0.000 0.000 0.622 1
Al1 Al 0.500 0.500 0.107 1
Al2 Al 0.500 0.500 0.500 1
Al3 Al 0.500 0.500 0.893 1
Zn1 Zn 0.000 0.500 0.211 1
Zn2 Zn 0.000 0.500 0.789 1
Zn3 Zn 0.500 0.000 0.211 1
Zn4 Zn 0.500 0.000 0.789 1
Zn5 Zn 0.500 0.500 0.317 1
Zn6 Zn 0.500 0.500 0.683 1
# E, eV/atom: -3.038
# Energy relative to the elements, eV/atom: -0.228

[3]
# BaAl2Zn, optimized geometry, DFT PBE-GGA
data_BaAl2Zn
_chemical_formula_sum 'Ba1 Al2 Zn1'
_symmetry_space_group_name_H-M 'P 1'
_symmetry_Int_Tables_number 1
_cell_length_a 3.419
_cell_length_b 3.667
_cell_length_c 7.697
_cell_angle_alpha 90.00
_cell_angle_beta 90.00
_cell_angle_gamma 90.00
loop_
_symmetry_equiv_pos_as_xyz
'x,y,z'
loop_
_atom_site_label
_atom_site_type_symbol
_atom_site_fract_x
_atom_site_fract_y
_atom_site_fract_z
_atom_site_occupancy
Ba1 Ba 0.000 0.000 0.000 1
Al1 Al 0.000 0.000 0.487 1
Al2 Al 0.500 0.500 0.672 1
Zn1 Zn 0.500 0.500 0.317 1
# E, eV/atom: -2.692
# Energy relative to the elements, eV/atom: -0.021

[4]
# Ba4Al3Zn5, optimized geometry, DFT PBE-GGA
data_Ba4Al3Zn5
_chemical_formula_sum 'Ba4 Al3 Zn5'
_symmetry_space_group_name_H-M 'P 1'
_symmetry_Int_Tables_number 1
_cell_length_a 8.375
_cell_length_b 8.375
_cell_length_c 10.679
_cell_angle_alpha 109.58
_cell_angle_beta 109.58
_cell_angle_gamma 32.73
loop_
_symmetry_equiv_pos_as_xyz
'x,y,z'
loop_
_atom_site_label
_atom_site_type_symbol
_atom_site_fract_x
_atom_site_fract_y
_atom_site_fract_z
_atom_site_occupancy
Ba1 Ba 0.064 0.064 0.346 1
Ba2 Ba 0.252 0.252 0.808 1
Ba3 Ba 0.748 0.748 0.192 1
Ba4 Ba 0.936 0.936 0.654 1
Al1 Al 0.000 0.000 0.000 1
Al2 Al 0.405 0.405 0.143 1
Al3 Al 0.595 0.595 0.857 1
Zn1 Zn 0.283 0.283 0.477 1
Zn2 Zn 0.422 0.422 0.397 1
Zn3 Zn 0.500 0.500 0.000 1
Zn4 Zn 0.578 0.578 0.603 1
Zn5 Zn 0.717 0.717 0.523 1
# E, eV/atom: -2.152
# Energy relative to the elements, eV/atom: -0.045